[1]
A plane-wave DFT calculation with PBE-GGA was carried out for a relaxed structure of Co2TcSb.

Lattice parameters (Å, degrees): 3.946 3.951 3.630 90.00 90.00 90.00
Fractional positions:
Co: 0.000 0.000 0.000
Co: 0.500 0.500 0.000
Sb: 0.500 0.000 0.500
Tc: 0.000 0.500 0.500

## Properties
M_tot (μB/f.u.): 3.46
Volume (Å³ per cell): 56.6
Fermi-level density of states (states/eV per atom): 1.445
Formation energy (no corrections) (eV per formula unit): 0.83

[2]
A plane-wave DFT calculation with PBE-GGA was carried out for a relaxed structure of Co2TcSb.

Lattice parameters (Å, degrees): 5.024 5.024 5.024 144.12 128.81 64.09
Fractional positions:
Co: 0.993 0.993 0.000
Co: 0.507 0.507 0.000
Sb: 0.750 0.250 0.500
Tc: 0.250 0.750 0.500

## Properties
M_tot (μB/f.u.): 2.85
Volume (Å³ per cell): 57.2
Fermi-level density of states (states/eV per atom): 1.408
Formation energy (no corrections) (eV per formula unit): 1.25